(1)
# LiP3Pb, optimized geometry, DFT GGA-PBE
data_LiP3Pb
_chemical_formula_sum 'Li1 P3 Pb1'
_cell_length_a 4.574
_cell_length_b 4.574
_cell_length_c 4.574
_cell_angle_alpha 90.00
_cell_angle_beta 90.00
_cell_angle_gamma 90.00
_symmetry_space_group_name_H-M 'P m -3 m'
_symmetry_Int_Tables_number 221
_symmetry_space_group_name_Hall '-P 4 2 3'
loop_
_atom_site_label
_atom_site_type_symbol
_atom_site_fract_x
_atom_site_fract_y
_atom_site_fract_z
Li1 Li 0.000 0.000 0.000
P1 P 0.000 0.000 0.500
Pb1 Pb 0.500 0.500 0.500
# - E above lowest polymorph: 0.0 meV per atom
# - VASP energy: -3.73 eV per atom
# - Formation energy from the elements: 0.64 eV/atom
# - Density: 5.3 g/cm3
# - Crystal system: cubic
# - Magnetization: 0.000 μB/atom

(2)
# Li2P3Pb, optimized geometry, DFT GGA-PBE
data_Li2P3Pb
_chemical_formula_sum 'Li8 P12 Pb4'
_cell_length_a 5.489
_cell_length_b 10.269
_cell_length_c 8.077
_cell_angle_alpha 90.00
_cell_angle_beta 102.39
_cell_angle_gamma 90.00
_symmetry_space_group_name_H-M 'C 1 2/c 1'
_symmetry_Int_Tables_number 15
loop_
_symmetry_equiv_pos_as_xyz
'x,y,z'
'-x,-y,-z'
'-x,y,-z+1/2'
'x,-y,z+1/2'
'x+1/2,y+1/2,z'
'-x+1/2,-y+1/2,-z'
'-x+1/2,y+1/2,-z+1/2'
'x+1/2,-y+1/2,z+1/2'
loop_
_atom_site_label
_atom_site_type_symbol
_atom_site_fract_x
_atom_site_fract_y
_atom_site_fract_z
Li1 Li 0.000 0.109 0.250
Li2 Li 0.000 0.269 0.750
P1 P 0.111 0.087 0.985
P2 P 0.250 0.250 0.500
Pb1 Pb 0.000 0.436 0.250
# - VASP energy: -4.12 eV per atom
# - Formation energy from the elements: -0.16 eV/atom
# - Density: 4.7 g/cm3
# - Crystal system: monoclinic
# - Magnetization: 0.000 μB/atom

(3)
# Li3PPb, optimized geometry, DFT GGA-PBE
data_Li3PPb
_chemical_formula_sum 'Li3 P1 Pb1'
_cell_length_a 4.685
_cell_length_b 4.685
_cell_length_c 4.685
_cell_angle_alpha 90.00
_cell_angle_beta 90.00
_cell_angle_gamma 90.00
_symmetry_space_group_name_H-M 'P m -3 m'
_symmetry_Int_Tables_number 221
_symmetry_space_group_name_Hall '-P 4 2 3'
loop_
_atom_site_label
_atom_site_type_symbol
_atom_site_fract_x
_atom_site_fract_y
_atom_site_fract_z
Li1 Li 0.000 0.000 0.500
P1 P 0.000 0.000 0.000
Pb1 Pb 0.500 0.500 0.500
# - E above lowest polymorph: 0.0 meV per atom
# - VASP energy: -3.22 eV per atom
# - Formation energy from the elements: -0.25 eV/atom
# - Density: 4.2 g/cm3
# - Crystal system: cubic
# - Magnetization: 0.000 μB/atom